[1]
# TlNiPdS3 GGA-PBE optimized geometry
# Electronic total energy, eV/atom: -4.487
# Total moment, μB per formula unit: 0.00
data_TlNiPdS3
_cell_length_a 7.2453
_cell_length_b 3.4274
_cell_length_c 9.8452
_cell_angle_alpha 90.00
_cell_angle_beta 105.83
_cell_angle_gamma 90.00
_space_group_name_H-M_alt 'P 1 21/m 1'
_space_group_IT_number 11
loop_
_space_group_symop_operation_xyz
'x,y,z'
'-x,-y,-z'
'-x,y+1/2,-z'
'x,-y+1/2,z'
loop_
_atom_site_label
_atom_site_type_symbol
_atom_site_fract_x
_atom_site_fract_y
_atom_site_fract_z
Tl1 Tl 0.0088 0.2500 0.2949
Ni1 Ni 0.4194 0.2500 0.1094
Pd1 Pd 0.4943 0.7500 0.3379
S1 S 0.2185 0.7500 0.1187
S2 S 0.3103 0.7500 0.5195
S3 S 0.3690 0.2500 0.8599

[2]
# Ni2SbPd GGA-PBE optimized geometry
# Electronic total energy, eV/atom: -5.248
# Total moment, μB per formula unit: 0.02
data_Ni2SbPd
_cell_length_a 6.1217
_cell_length_b 6.1217
_cell_length_c 6.1217
_cell_angle_alpha 90.00
_cell_angle_beta 90.00
_cell_angle_gamma 90.00
_space_group_name_H-M_alt 'F -4 3 m'
_space_group_IT_number 216
_space_group_name_Hall 'F -4 2 3'
loop_
_atom_site_label
_atom_site_type_symbol
_atom_site_fract_x
_atom_site_fract_y
_atom_site_fract_z
Ni1 Ni 0.0000 0.0000 0.0000
Ni2 Ni 0.2500 0.2500 0.2500
Sb1 Sb 0.0000 0.0000 0.5000
Pd1 Pd 0.2500 0.2500 0.7500